RbVSi2F | PBE with a Hubbard U | optimized geometry

Cell lengths 4.6032, 4.8344, 4.6032 Å; angles 90.00, 90.00, 90.00 degrees
Last column: nearest neighbours and their distance in Å.
Element x y z (fractional)
Si  0.0000  0.0000  0.5000  2 F 2.30
Si  0.5000  0.0000  0.0000  2 F 2.30
F  0.0000  0.0000  0.0000  4 Si 2.30, 2 Rb 2.42
Rb  0.0000  0.5000  0.0000  2 F 2.42
V  0.5000  0.5000  0.5000  4 Rb 3.25, 8 Si 3.34

Its theoretical density is 3.4 g/cm3. The calculation puts the size of the total moment at 0.04 μB/atom.

***

Rb2VSiF6 | PBE with a Hubbard U | optimized geometry

Cell lengths 6.1241, 6.1241, 6.1271 Å; angles 60.02, 60.02, 90.00 degrees
Last column: nearest neighbours and their distance in Å.
Element x y z (fractional)
Si  0.5000  0.5000  0.0000  6 F 2.19-2.20
F  0.2463  0.2463  0.5073  1 V 2.14, 1 Si 2.20
F  0.7537  0.7537  0.4927  1 V 2.14, 1 Si 2.20
F  0.2472  0.2472  0.0000  1 V 2.14, 1 Si 2.19
F  0.7528  0.7528  0.0000  1 V 2.14, 1 Si 2.19
F  0.7528  0.2472  0.0000  1 V 2.14, 1 Si 2.19
F  0.2472  0.7528  0.0000  1 V 2.14, 1 Si 2.19
Rb  0.7500  0.2500  0.5000  12 F 3.06
Rb  0.2500  0.7500  0.5000  12 F 3.06
V  0.0000  0.0000  0.0000  6 F 2.14

Its theoretical density is 3.7 g/cm3. The calculation puts the size of the total moment at 0.30 μB/atom.

***

RbSiW2F | PBE with a Hubbard U | optimized geometry

Cell lengths 6.0512, 4.5718, 6.0512 Å; angles 90.00, 90.00, 90.00 degrees
Last column: nearest neighbours and their distance in Å.
Element x y z (fractional)
Si  0.5000  0.5000  0.5000  8 W 3.79
Rb  0.0000  0.0000  0.0000  2 F 2.29
W  0.0000  0.0000  0.5000  2 Rb 3.03
W  0.5000  0.0000  0.0000  2 Rb 3.03
F  0.0000  0.5000  0.0000  2 Rb 2.29

Its theoretical density is 5.0 g/cm3. The calculation puts the size of the total moment at 1.86 μB/atom.

***

RbSi2WF | PBE with a Hubbard U | optimized geometry

Cell lengths 4.8909, 4.6621, 4.8909 Å; angles 90.00, 90.00, 90.00 degrees
Last column: nearest neighbours and their distance in Å.
Element x y z (fractional)
Si  0.0000  0.0000  0.5000  2 W 2.45
Si  0.5000  0.0000  0.0000  2 W 2.45
Rb  0.5000  0.5000  0.5000  8 Si 3.38, 4 F 3.46
W  0.0000  0.0000  0.0000  2 F 2.33, 4 Si 2.45
F  0.0000  0.5000  0.0000  2 W 2.33

Its theoretical density is 5.1 g/cm3. The calculation puts the size of the total moment at 0.00 μB/atom.

***

Quick rundown of DOS at the Fermi energy, same order as above: 4.066; 0.000; 5.948; 0.384 states/eV per cell
Quick rundown of total DFT energy (no corrections), same order as above: -3.46; -5.08; -2.71; -4.15 eV per atom